Record 1
# TlCuSnPd (GGA-PBE, optimized geometry)
data_TlCuSnPd
_chemical_formula_sum 'Tl4 Cu4 Sn4 Pd4'
_symmetry_space_group_name_H-M 'F -4 3 m'
_symmetry_Int_Tables_number 216
_symmetry_space_group_name_Hall 'F -4 2 3'
_cell_length_a 6.781
_cell_length_b 6.781
_cell_length_c 6.781
_cell_angle_alpha 90.00
_cell_angle_beta 90.00
_cell_angle_gamma 90.00
loop_
_atom_site_label
_atom_site_type_symbol
_atom_site_fract_x
_atom_site_fract_y
_atom_site_fract_z
_atom_site_occupancy
Tl1 Tl 0.000 0.000 0.000 1
Cu1 Cu 0.250 0.250 0.750 1
Sn1 Sn 0.000 0.000 0.500 1
Pd1 Pd 0.250 0.250 0.250 1
# **Offset from the most stable computed form**: 0.000 eV per atom
# **Raw total energy**: -3.789 eV per atom

---

Record 2
# TbAl3 (GGA-PBE, optimized geometry)
data_TbAl3
_chemical_formula_sum 'Tb15 Al45'
_symmetry_space_group_name_H-M 'R -3 m'
_symmetry_Int_Tables_number 166
_symmetry_space_group_name_Hall '-R 3 2"'
_cell_length_a 6.1238
_cell_length_b 6.1238
_cell_length_c 36.0218
_cell_angle_alpha 90.00
_cell_angle_beta 90.00
_cell_angle_gamma 120.00
loop_
_atom_site_label
_atom_site_type_symbol
_atom_site_fract_x
_atom_site_fract_y
_atom_site_fract_z
_atom_site_occupancy
Tb1 Tb 0.0000 0.0000 0.0000 1
Tb2 Tb 0.0000 0.0000 0.1308 1
Tb3 Tb 0.0000 0.0000 0.4001 1
Al1 Al 0.0000 0.5000 0.0000 1
Al2 Al 0.0046 0.5023 0.8662 1
Al3 Al 0.0349 0.5174 0.3995 1
# **Raw total energy**: -4.397 eV per atom